1.
VASP calculation (PBE) on an optimized crystal structure of DySiPt2.

ρ   13.65 g/cm³
Total energy   -6.707 eV per atom
V   282.6 Å³ per cell

Cell and atoms, written as CIF:
```
data_DySiPt2
_space_group_name_H-M_alt 'P 1'
_space_group_IT_number 1
_cell_length_a 7.326
_cell_length_b 6.978
_cell_length_c 5.529
_cell_angle_alpha 90.00
_cell_angle_beta 90.00
_cell_angle_gamma 90.00
loop_
_space_group_symop_operation_xyz
'x,y,z'
loop_
_atom_site_label
_atom_site_fract_x
_atom_site_fract_y
_atom_site_fract_z
_atom_site_occupancy
Dy1 0.026 0.250 0.135 1
Dy2 0.474 0.750 0.635 1
Dy3 0.526 0.250 0.365 1
Dy4 0.974 0.750 0.865 1
Si1 0.121 0.750 0.364 1
Si2 0.379 0.250 0.864 1
Si3 0.621 0.750 0.136 1
Si4 0.879 0.250 0.636 1
Pt1 0.181 0.051 0.592 1
Pt2 0.181 0.449 0.592 1
Pt3 0.319 0.551 0.092 1
Pt4 0.319 0.949 0.092 1
Pt5 0.681 0.051 0.908 1
Pt6 0.681 0.449 0.908 1
Pt7 0.819 0.551 0.408 1
Pt8 0.819 0.949 0.408 1
```



2.
VASP calculation (PBE) on an optimized crystal structure of Sm3Tm7Mg.

ρ   7.76 g/cm³
Total energy   -4.086 eV per atom
V   354.9 Å³ per cell

Cell and atoms, written as CIF:
```
data_Sm3Tm7Mg
_space_group_name_H-M_alt 'P 1'
_space_group_IT_number 1
_cell_length_a 6.934
_cell_length_b 6.934
_cell_length_c 8.523
_cell_angle_alpha 90.00
_cell_angle_beta 90.00
_cell_angle_gamma 120.00
loop_
_space_group_symop_operation_xyz
'x,y,z'
loop_
_atom_site_label
_atom_site_fract_x
_atom_site_fract_y
_atom_site_fract_z
_atom_site_occupancy
Sm1 0.168 0.336 0.000 1
Sm2 0.168 0.832 0.000 1
Sm3 0.664 0.832 0.000 1
Tm1 0.005 0.503 0.342 1
Tm2 0.333 0.166 0.664 1
Tm3 0.333 0.667 0.667 1
Tm4 0.497 0.503 0.342 1
Tm5 0.497 0.995 0.342 1
Tm6 0.834 0.166 0.664 1
Tm7 0.834 0.667 0.664 1
Mg1 0.000 0.000 0.344 1
```



3.
VASP calculation (PBE) on an optimized crystal structure of IrPt2S.

ρ   12.70 g/cm³
Total energy   -5.643 eV per atom
V   160.7 Å³ per cell

Cell and atoms, written as CIF:
```
data_IrPt2S
_space_group_name_H-M_alt 'P 1'
_space_group_IT_number 1
_cell_length_a 7.487
_cell_length_b 7.487
_cell_length_c 7.487
_cell_angle_alpha 141.60
_cell_angle_beta 141.60
_cell_angle_gamma 55.43
loop_
_space_group_symop_operation_xyz
'x,y,z'
loop_
_atom_site_label
_atom_site_fract_x
_atom_site_fract_y
_atom_site_fract_z
_atom_site_occupancy
Ir1 0.000 0.000 0.000 1
Ir2 0.750 0.250 0.500 1
Pt1 0.170 0.625 0.045 1
Pt2 0.375 0.420 0.545 1
Pt3 0.580 0.125 0.955 1
Pt4 0.875 0.830 0.455 1
S1 0.250 0.750 0.500 1
S2 0.500 0.500 0.000 1
```



4.
VASP calculation (PBE) on an optimized crystal structure of BaH2O2.

ρ   4.41 g/cm³
Total energy   -5.503 eV per atom
V   515.7 Å³ per cell

Cell and atoms, written as CIF:
```
data_BaH2O2
_space_group_name_H-M_alt 'P 1'
_space_group_IT_number 1
_cell_length_a 6.843
_cell_length_b 7.973
_cell_length_c 11.169
_cell_angle_alpha 90.00
_cell_angle_beta 122.17
_cell_angle_gamma 90.00
loop_
_space_group_symop_operation_xyz
'x,y,z'
loop_
_atom_site_label
_atom_site_fract_x
_atom_site_fract_y
_atom_site_fract_z
_atom_site_occupancy
Ba1 0.035 0.049 0.317 1
Ba2 0.035 0.451 0.817 1
Ba3 0.354 0.644 0.603 1
Ba4 0.354 0.856 0.103 1
Ba5 0.646 0.144 0.897 1
Ba6 0.646 0.356 0.397 1
Ba7 0.965 0.549 0.183 1
Ba8 0.965 0.951 0.683 1
H1 0.181 0.231 0.619 1
H2 0.181 0.269 0.119 1
H3 0.199 0.150 0.976 1
H4 0.199 0.350 0.476 1
H5 0.427 0.041 0.618 1
H6 0.427 0.459 0.118 1
H7 0.458 0.743 0.405 1
H8 0.458 0.757 0.905 1
H9 0.542 0.243 0.095 1
H10 0.542 0.257 0.595 1
H11 0.573 0.541 0.882 1
H12 0.573 0.959 0.382 1
H13 0.801 0.650 0.524 1
H14 0.801 0.850 0.024 1
H15 0.819 0.731 0.881 1
H16 0.819 0.769 0.381 1
O1 0.111 0.157 0.103 1
O2 0.111 0.343 0.603 1
O3 0.267 0.141 0.916 1
O4 0.267 0.359 0.416 1
O5 0.293 0.506 0.117 1
O6 0.293 0.994 0.617 1
O7 0.311 0.701 0.837 1
O8 0.311 0.799 0.337 1
O9 0.689 0.201 0.663 1
O10 0.689 0.299 0.163 1
O11 0.707 0.006 0.383 1
O12 0.707 0.494 0.883 1
O13 0.733 0.641 0.584 1
O14 0.733 0.859 0.084 1
O15 0.889 0.657 0.397 1
O16 0.889 0.843 0.897 1
```



5.
VASP calculation (PBE) on an optimized crystal structure of Tb8PrNd5.

ρ   7.56 g/cm³
Total energy   -4.649 eV per atom
V   468.9 Å³ per cell

Cell and atoms, written as CIF:
```
data_Tb8PrNd5
_space_group_name_H-M_alt 'P 1'
_space_group_IT_number 1
_cell_length_a 8.948
_cell_length_b 8.948
_cell_length_c 16.962
_cell_angle_alpha 117.48
_cell_angle_beta 117.48
_cell_angle_gamma 23.04
loop_
_space_group_symop_operation_xyz
'x,y,z'
loop_
_atom_site_label
_atom_site_fract_x
_atom_site_fract_y
_atom_site_fract_z
_atom_site_occupancy
Tb1 0.079 0.079 0.223 1
Tb2 0.147 0.147 0.939 1
Tb3 0.216 0.216 0.646 1
Tb4 0.419 0.419 0.277 1
Tb5 0.581 0.581 0.723 1
Tb6 0.784 0.784 0.354 1
Tb7 0.853 0.853 0.061 1
Tb8 0.921 0.921 0.777 1
Pr1 0.500 0.500 0.000 1
Nd1 0.000 0.000 0.500 1
Nd2 0.286 0.286 0.856 1
Nd3 0.355 0.355 0.559 1
Nd4 0.645 0.645 0.441 1
Nd5 0.714 0.714 0.144 1
```



6.
VASP calculation (PBE) on an optimized crystal structure of Mn2BeRh.

ρ   7.94 g/cm³
Total energy   -7.394 eV per atom
V   46.4 Å³ per cell

Cell and atoms, written as CIF:
```
data_Mn2BeRh
_space_group_name_H-M_alt 'P 1'
_space_group_IT_number 1
_cell_length_a 4.345
_cell_length_b 4.345
_cell_length_c 4.345
_cell_angle_alpha 130.46
_cell_angle_beta 130.46
_cell_angle_gamma 72.67
loop_
_space_group_symop_operation_xyz
'x,y,z'
loop_
_atom_site_label
_atom_site_fract_x
_atom_site_fract_y
_atom_site_fract_z
_atom_site_occupancy
Mn1 0.000 0.000 0.000 1
Mn2 0.750 0.250 0.500 1
Be1 0.500 0.500 0.000 1
Rh1 0.250 0.750 0.500 1
```



Q: Among the records above, which one has the highest V?
A: BaH2O2



Q: The lowest total energy belongs to which entry?
A: Mn2BeRh



Q: Which of these has the lowest V?
A: Mn2BeRh